Run one
VASP calculation (PBE) on a relaxed structure of LaTl3Pt.

The calculation puts the spin magnetization at 0.00 μB per atom.

The structure belongs to space group Pm-3m (No. 221); the cell edges are 5.3179, 5.3179 and 5.3179 Å and the angles 90.00°, 90.00° and 90.00°. The inequivalent atoms are La at (0.0000, 0.0000, 0.0000), Tl at (0.0000, 0.5000, 0.5000) and Pt at (0.5000, 0.5000, 0.5000).

***

Run two
VASP calculation (PBE) on a relaxed structure of LaTl3Pt.

The calculation puts the spin magnetization at 0.00 μB per atom.

The structure belongs to space group Pm-3m (No. 221); the cell edges are 6.0431, 6.0431 and 6.0431 Å and the angles 90.00°, 90.00° and 90.00°. The inequivalent atoms are La at (0.0000, 0.0000, 0.0000), Tl at (0.0000, 0.0000, 0.5000) and Pt at (0.5000, 0.5000, 0.5000).

***

Least stable of them? run two.

***

Run one
VASP calculation (PBE) on a relaxed structure of LaTm2Pt.

The calculation puts the spin magnetization at 0.00 μB per atom.

The structure belongs to space group R3m (No. 160, hexagonal axes); the cell edges are 3.9670, 3.9670 and 27.0606 Å and the angles 90.00°, 90.00° and 120.00°. The inequivalent atoms are La at (0.0000, 0.0000, 0.0000), Tm at (0.0000, 0.0000, 0.5544), Tm at (0.0000, 0.0000, 0.7730) and Pt at (0.0000, 0.0000, 0.1633).

***

Run two
VASP calculation (PBE) on a relaxed structure of LaTm2Pt.

The calculation puts the spin magnetization at 0.00 μB per atom.

The structure belongs to space group R-3m (No. 166, hexagonal axes); the cell edges are 3.9140, 3.9140 and 27.9576 Å and the angles 90.00°, 90.00° and 120.00°. The inequivalent atoms are La at (0.0000, 0.0000, 0.0000), Tm at (0.0000, 0.0000, 0.2237) and Pt at (0.0000, 0.0000, 0.5000).

***

Least stable of them? run two.

***

Run one
VASP calculation (PBE) on a relaxed structure of LaVPt3.

The calculation puts the spin magnetization at 0.63 μB per atom.

The structure belongs to space group Pm-3m (No. 221); the cell edges are 5.1884, 5.1884 and 5.1884 Å and the angles 90.00°, 90.00° and 90.00°. The inequivalent atoms are La at (0.0000, 0.0000, 0.0000), V at (0.5000, 0.5000, 0.5000) and Pt at (0.0000, 0.0000, 0.5000).

***

Run two
VASP calculation (PBE) on a relaxed structure of LaVPt3.

The calculation puts the spin magnetization at 0.00 μB per atom.

The structure belongs to space group Pm-3m (No. 221); the cell edges are 4.7551, 4.7551 and 4.7551 Å and the angles 90.00°, 90.00° and 90.00°. The inequivalent atoms are La at (0.0000, 0.0000, 0.0000), V at (0.5000, 0.5000, 0.5000) and Pt at (0.0000, 0.5000, 0.5000).

***

Least stable of them? run one.

***

Run one
VASP calculation (PBE) on a relaxed structure of La2VPt2.

The calculation puts the spin magnetization at 0.79 μB per atom.

The structure belongs to space group I4/mmm (No. 139); the cell edges are 3.9136, 3.9136 and 16.7988 Å and the angles 90.00°, 90.00° and 90.00°. The inequivalent atoms are La at (0.0000, 0.0000, 0.1155), V at (0.0000, 0.0000, 0.5000) and Pt at (0.0000, 0.5000, 0.2500).

***

Run two
VASP calculation (PBE) on a relaxed structure of La2VPt2.

The calculation puts the spin magnetization at 0.70 μB per atom.

The structure belongs to space group P4/mbm (No. 127); the cell edges are 7.5787, 7.5787 and 4.1792 Å and the angles 90.00°, 90.00° and 90.00°. The inequivalent atoms are La at (0.1718, 0.3282, 0.0000), V at (0.0000, 0.0000, 0.5000) and Pt at (0.1362, 0.6362, 0.5000).

***

Least stable of them? run one.

***

Run one
VASP calculation (PBE) on a relaxed structure of LaV3Pt.

The calculation puts the spin magnetization at 0.00 μB per atom.

The structure belongs to space group Pm-3m (No. 221); the cell edges are 4.4949, 4.4949 and 4.4949 Å and the angles 90.00°, 90.00° and 90.00°. The inequivalent atoms are La at (0.0000, 0.0000, 0.0000), V at (0.0000, 0.0000, 0.5000) and Pt at (0.5000, 0.5000, 0.5000).

***

Run two
VASP calculation (PBE) on a relaxed structure of LaV3Pt.

The calculation puts the spin magnetization at 0.99 μB per atom.

The structure belongs to space group Pm-3m (No. 221); the cell edges are 4.8206, 4.8206 and 4.8206 Å and the angles 90.00°, 90.00° and 90.00°. The inequivalent atoms are La at (0.0000, 0.0000, 0.0000), V at (0.0000, 0.5000, 0.5000) and Pt at (0.5000, 0.5000, 0.5000).

***

Least stable of them? run one.

***

Run one
VASP calculation (PBE) on a relaxed structure of LaVPt2.

The calculation puts the spin magnetization at 0.80 μB per atom.

The structure belongs to space group Fm-3m (No. 225); the cell edges are 6.8721, 6.8721 and 6.8721 Å and the angles 90.00°, 90.00° and 90.00°. The inequivalent atoms are La at (0.0000, 0.0000, 0.0000), V at (0.0000, 0.0000, 0.5000) and Pt at (0.2500, 0.2500, 0.2500).

***

Run two
VASP calculation (PBE) on a relaxed structure of LaVPt2.

The calculation puts the spin magnetization at 0.43 μB per atom.

The structure belongs to space group I-42d (No. 122); the cell edges are 5.0057, 5.0057 and 16.1416 Å and the angles 90.00°, 90.00° and 90.00°. The inequivalent atoms are La at (0.0000, 0.0000, 0.0000), V at (0.0000, 0.0000, 0.5000) and Pt at (0.0890, 0.2500, 0.6250).

***

Least stable of them? run two.

***

Run one
VASP calculation (PBE) on a relaxed structure of La2PtW.

The calculation puts the spin magnetization at 0.00 μB per atom.

The structure belongs to space group Imm2 (No. 44); the cell edges are 3.5420, 4.9118 and 11.5695 Å and the angles 90.00°, 90.00° and 90.00°. The inequivalent atoms are La at (0.0000, 0.0000, 0.0000), La at (0.0000, 0.5000, 0.2044), Pt at (0.0000, 0.0000, 0.4264) and W at (0.0000, 0.5000, 0.7660).

***

Run two
VASP calculation (PBE) on a relaxed structure of La2PtW.

The calculation puts the spin magnetization at 0.00 μB per atom.

The structure belongs to space group I-4m2 (No. 119); the cell edges are 4.2886, 4.2886 and 10.1813 Å and the angles 90.00°, 90.00° and 90.00°. The inequivalent atoms are La at (0.0000, 0.0000, 0.0000), La at (0.0000, 0.5000, 0.2500), Pt at (0.0000, 0.5000, 0.7500) and W at (0.0000, 0.0000, 0.5000).

***

Least stable of them? run two.

***

Run one
VASP calculation (PBE) on a relaxed structure of La2PtW.

The calculation puts the spin magnetization at 0.00 μB per atom.

The structure belongs to space group R3m (No. 160, hexagonal axes); the cell edges are 4.4187, 4.4187 and 20.2517 Å and the angles 90.00°, 90.00° and 120.00°. The inequivalent atoms are La at (0.0000, 0.0000, 0.0000), La at (0.0000, 0.0000, 0.1951), Pt at (0.0000, 0.0000, 0.7680) and W at (0.0000, 0.0000, 0.4248).

***

Run two
VASP calculation (PBE) on a relaxed structure of La2PtW.

The calculation puts the spin magnetization at 0.36 μB per atom.

The structure belongs to space group P4/mmm (No. 123); the cell edges are 3.6937, 3.6937 and 7.1978 Å and the angles 90.00°, 90.00° and 90.00°. The inequivalent atoms are La at (0.0000, 0.0000, 0.2437), Pt at (0.5000, 0.5000, 0.0000) and W at (0.5000, 0.5000, 0.5000).

***

Run three
VASP calculation (PBE) on a relaxed structure of La2PtW.

The calculation puts the spin magnetization at 0.00 μB per atom.

The structure belongs to space group Amm2 (No. 38); the cell edges are 4.4371, 4.6823 and 10.5381 Å and the angles 90.00°, 90.00° and 90.00°. The inequivalent atoms are La at (0.0000, 0.0000, 0.0000), La at (0.5000, 0.0000, 0.3029), Pt at (0.0000, 0.0000, 0.7086) and W at (0.5000, 0.0000, 0.5990).

***

Least stable of them? run two.

***

Run one
VASP calculation (PBE) on a relaxed structure of La2PtW.

The calculation puts the spin magnetization at 0.00 μB per atom.

The structure belongs to space group P4mm (No. 99); the cell edges are 3.2893, 3.2893 and 9.3891 Å and the angles 90.00°, 90.00° and 90.00°. The inequivalent atoms are La at (0.0000, 0.0000, 0.0000), La at (0.5000, 0.5000, 0.3816), Pt at (0.0000, 0.0000, 0.6194) and W at (0.5000, 0.5000, 0.7612).

***

Run two
VASP calculation (PBE) on a relaxed structure of La2PtW.

The calculation puts the spin magnetization at 0.43 μB per atom.

The structure belongs to space group I-42d (No. 122); the cell edges are 7.9789, 7.9789 and 6.2174 Å and the angles 90.00°, 90.00° and 90.00°. The inequivalent atoms are La at (0.2423, 0.2500, 0.1250), Pt at (0.0000, 0.0000, 0.0000) and W at (0.0000, 0.0000, 0.5000).

***

Run three
VASP calculation (PBE) on a relaxed structure of La2PtW.

The calculation puts the spin magnetization at 0.08 μB per atom.

The structure belongs to space group Fm-3m (No. 225); the cell edges are 7.2831, 7.2831 and 7.2831 Å and the angles 90.00°, 90.00° and 90.00°. The inequivalent atoms are La at (0.2500, 0.2500, 0.2500), Pt at (0.0000, 0.0000, 0.0000) and W at (0.0000, 0.0000, 0.5000).

***

Least stable of them? run two.

***

Run one
VASP calculation (PBE) on a relaxed structure of La2PtW.

The calculation puts the spin magnetization at 0.19 μB per atom.

The structure belongs to space group R-3m (No. 166, hexagonal axes); the cell edges are 3.7730, 3.7730 and 25.2771 Å and the angles 90.00°, 90.00° and 120.00°. The inequivalent atoms are La at (0.0000, 0.0000, 0.2467), Pt at (0.0000, 0.0000, 0.5000) and W at (0.0000, 0.0000, 0.0000).

***

Run two
VASP calculation (PBE) on a relaxed structure of La2PtW.

The calculation puts the spin magnetization at 0.45 μB per atom.

The structure belongs to space group Pmmm (No. 47); the cell edges are 3.5238, 5.2529 and 5.2873 Å and the angles 90.00°, 90.00° and 90.00°. The inequivalent atoms are La at (0.0000, 0.0000, 0.0000), La at (0.0000, 0.5000, 0.5000), Pt at (0.5000, 0.0000, 0.5000) and W at (0.5000, 0.5000, 0.0000).

***

Run three
VASP calculation (PBE) on a relaxed structure of La2PtW.

The calculation puts the spin magnetization at 0.00 μB per atom.

The structure belongs to space group F-43m (No. 216); the cell edges are 7.0584, 7.0584 and 7.0584 Å and the angles 90.00°, 90.00° and 90.00°. The inequivalent atoms are La at (0.0000, 0.0000, 0.0000), La at (0.2500, 0.2500, 0.2500), Pt at (0.0000, 0.0000, 0.5000) and W at (0.2500, 0.2500, 0.7500).

***

Least stable of them? run one.

***

Run one
VASP calculation (PBE) on a relaxed structure of LaPtW2.

The calculation puts the spin magnetization at 0.00 μB per atom.

The structure belongs to space group Cmm2 (No. 35); the cell edges are 3.3619, 4.7736 and 9.4475 Å and the angles 90.00°, 90.00° and 90.00°. The inequivalent atoms are La at (0.0000, 0.0000, 0.0000), Pt at (0.0000, 0.5000, 0.7245), W at (0.0000, 0.0000, 0.5030) and W at (0.0000, 0.5000, 0.2884).

***

Run two
VASP calculation (PBE) on a relaxed structure of LaPtW2.

The calculation puts the spin magnetization at 0.00 μB per atom.

The structure belongs to space group P4/mmm (No. 123); the cell edges are 2.8183, 2.8183 and 9.4973 Å and the angles 90.00°, 90.00° and 90.00°. The inequivalent atoms are La at (0.0000, 0.0000, 0.0000), Pt at (0.0000, 0.0000, 0.5000) and W at (0.5000, 0.5000, 0.2875).

***

Least stable of them? run two.

***

Run one
VASP calculation (PBE) on a relaxed structure of LaYPt2.

The calculation puts the spin magnetization at 0.00 μB per atom.

The structure belongs to space group Fm-3m (No. 225); the cell edges are 7.1778, 7.1778 and 7.1778 Å and the angles 90.00°, 90.00° and 90.00°. The inequivalent atoms are La at (0.0000, 0.0000, 0.0000), Y at (0.0000, 0.0000, 0.5000) and Pt at (0.2500, 0.2500, 0.2500).

***

Run two
VASP calculation (PBE) on a relaxed structure of LaYPt2.

The calculation puts the spin magnetization at 0.00 μB per atom.

The structure belongs to space group Pmm2 (No. 25); the cell edges are 3.5021, 5.0979 and 5.1454 Å and the angles 90.00°, 90.00° and 90.00°. The inequivalent atoms are La at (0.0000, 0.0000, 0.0000), Y at (0.0000, 0.5000, 0.5138), Pt at (0.5000, 0.0000, 0.4899) and Pt at (0.5000, 0.5000, 0.0318).

***

Run three
VASP calculation (PBE) on a relaxed structure of LaYPt2.

The calculation puts the spin magnetization at 0.00 μB per atom.

The structure belongs to space group P2/m (No. 10); the cell edges are 3.5576, 3.5859 and 7.1986 Å and the angles 90.00°, 90.06° and 90.00°. The inequivalent atoms are La at (0.0000, 0.0000, 0.0000), Y at (0.0000, 0.0000, 0.5000) and Pt at (0.4984, 0.5000, 0.2690).

***

Least stable of them? run one.